[1]
Material: Zr2TaRh
Method: DFT, GGA-PBE
State: optimized geometry

Computed properties:
- volume (A^3/atom) = 18.87
- space group = C2/m
- D(E_F) (states/eV per cell) = 4.49
- ΔE to the lowest computed polymorph (meV per atom) = 199
- total energy (eV/atom) = -9.2456
- energy relative to the elements (eV/atom) = -0.17

a = 5.424 Å, b = 5.424 Å, c = 3.029 Å
α = 78.81°, β = 78.81°, γ = 114.80°
Element x y z (fractional)
Rh 0.500 0.000 0.500
Ta 0.000 0.500 0.500
Zr 0.000 0.000 0.000
Zr 0.500 0.500 0.000

---

[2]
Material: ZrTaRh3
Method: DFT, GGA-PBE
State: optimized geometry

Computed properties:
- volume (A^3/atom) = 20.68
- space group = Pm-3m
- D(E_F) (states/eV per cell) = 5.43
- ΔE to the lowest computed polymorph (meV per atom) = 0
- total energy (eV/atom) = -7.9998
- energy relative to the elements (eV/atom) = 0.49

a = 4.693 Å, b = 4.693 Å, c = 4.693 Å
α = 90.00°, β = 90.00°, γ = 90.00°
Element x y z (fractional)
Rh 0.000 0.500 0.000
Rh 0.000 0.000 0.500
Rh 0.500 0.000 0.000
Zr 0.500 0.500 0.500
Ta 0.000 0.000 0.000

---

[3]
Material: ZrTaRh2
Method: DFT, GGA-PBE
State: optimized geometry

Computed properties:
- volume (A^3/atom) = 16.91
- space group = I-4m2
- D(E_F) (states/eV per cell) = 3.22
- total energy (eV/atom) = -9.2309
- energy relative to the elements (eV/atom) = -0.45

a = 5.187 Å, b = 5.187 Å, c = 5.187 Å
α = 135.49°, β = 135.49°, γ = 64.76°
Element x y z (fractional)
Rh 0.000 0.000 0.000
Rh 0.250 0.750 0.500
Ta 0.500 0.500 0.000
Zr 0.750 0.250 0.500